Entry 1:
PrHoPa: optimized geometry, PBE-GGA.

abc: 3.9919 3.9919 11.5553
angles: 90.00 90.00 90.00
Closest atoms and distances in Å follow each position.
Fractional coordinates of all 6 atoms:
Pr 0.0000 0.5000 0.6054  4 Ho 3.51, 4 Pr 3.73, 1 Pa 3.83
Pr 0.5000 0.0000 0.3946  4 Ho 3.51, 4 Pr 3.73, 1 Pa 3.83
Ho 0.5000 0.0000 0.7857  5 Pa 3.20-3.32, 4 Pr 3.51
Ho 0.0000 0.5000 0.2143  5 Pa 3.20-3.32, 4 Pr 3.51
Pa 0.0000 0.5000 0.9370  4 Pa 3.18, 5 Ho 3.20-3.32
Pa 0.5000 0.0000 0.0630  4 Pa 3.18, 5 Ho 3.20-3.32

Results
Offset from the most stable computed form in meV per atom: 22.5
Raw total energy in eV per atom: -6.100
Formation enthalpy at 0 K in kcal/mol of atoms: 4.2

***

Entry 2:
NpBi2O8: optimized geometry, PBE-GGA.

abc: 3.4949 8.2866 8.6830
angles: 68.12 101.61 90.00
Closest atoms and distances in Å follow each position.
Fractional coordinates of all 11 atoms:
Np 0.5000 0.0000 0.0000  2 O 1.78
Bi 0.1530 0.5522 0.3059  6 O 2.15-2.31
Bi 0.8470 0.4478 0.6941  6 O 2.15-2.31
O 0.6001 0.4816 0.2001  2 Bi 2.15
O 0.4166 0.9199 0.8333  1 Np 1.78
O 0.2852 0.3572 0.5704  3 Bi 2.21-2.31
O 0.0572 0.8347 0.1144  2 Np 2.21, 1 Bi 2.29
O 0.7148 0.6428 0.4296  3 Bi 2.21-2.31
O 0.5834 0.0801 0.1667  1 Np 1.78
O 0.3999 0.5184 0.7999  2 Bi 2.15
O 0.9428 0.1653 0.8856  2 Np 2.21, 1 Bi 2.29

Results
Raw total energy in eV per atom: -6.854
Uncorrected formation energy in eV per formula unit: -15.022

***

Entry 3:
LiAlAg: optimized geometry, PBE-GGA.

abc: 2.8797 4.7032 4.7032
angles: 58.88 72.17 72.17
Closest atoms and distances in Å follow each position.
Fractional coordinates of all 3 atoms:
Li 0.1892 0.3108 0.3108  4 Ag 2.73-2.79, 5 Al 2.88-2.90, 2 Li 2.88
Al 0.8106 0.6894 0.6894  4 Ag 2.73-2.78, 5 Li 2.88-2.90, 2 Al 2.88
Ag 0.0002 0.9998 0.9998  4 Li 2.73-2.79, 4 Al 2.73-2.78, 2 Ag 2.88

Results
Offset from the most stable computed form in meV per atom: 95.4
Raw total energy in eV per atom: -2.960
Formation enthalpy at 0 K in kcal/mol of atoms: -2.9

***

Entry 4:
Mn2Zn2Cu: optimized geometry, PBE-GGA.

abc: 6.4314 6.4314 3.4793
angles: 90.00 90.00 90.00
Closest atoms and distances in Å follow each position.
Fractional coordinates of all 10 atoms:
Zn 0.3630 0.8630 0.0000  1 Zn 2.49, 2 Cu 2.50, 6 Mn 2.51-2.61
Zn 0.8630 0.6370 0.0000  1 Zn 2.49, 2 Cu 2.50, 6 Mn 2.51-2.61
Zn 0.6370 0.1370 0.0000  1 Zn 2.49, 2 Cu 2.50, 6 Mn 2.51-2.61
Zn 0.1370 0.3630 0.0000  1 Zn 2.49, 2 Cu 2.50, 6 Mn 2.51-2.61
Mn 0.1633 0.6633 0.5000  6 Zn 2.51-2.61
Mn 0.6633 0.8367 0.5000  6 Zn 2.51-2.61
Mn 0.8367 0.3367 0.5000  6 Zn 2.51-2.61
Mn 0.3367 0.1633 0.5000  6 Zn 2.51-2.61
Cu 0.0000 0.0000 0.0000  4 Zn 2.50
Cu 0.5000 0.5000 0.0000  4 Zn 2.50

Results
Raw total energy in eV per atom: -4.778
Formation enthalpy at 0 K in kcal/mol of atoms: 5.0

***

Entry 5:
Dy4SnPd15: optimized geometry, PBE-GGA.

abc: 4.1123 4.1123 20.4687
angles: 90.00 90.00 90.00
Closest atoms and distances in Å follow each position.
Fractional coordinates of all 20 atoms:
Dy 0.0000 0.0000 0.1985  12 Pd 2.89-2.95
Dy 0.0000 0.0000 0.3993  12 Pd 2.91-2.92
Dy 0.0000 0.0000 0.6007  12 Pd 2.91-2.92
Dy 0.0000 0.0000 0.8015  12 Pd 2.89-2.95
Sn 0.0000 0.0000 0.0000  12 Pd 2.83-2.91
Pd 0.5000 0.5000 0.0000  8 Pd 2.83, 4 Sn 2.91
Pd 0.5000 0.5000 0.1961  4 Dy 2.91, 8 Pd 2.91-2.93
Pd 0.5000 0.5000 0.3984  8 Pd 2.91-2.92, 4 Dy 2.91
Pd 0.5000 0.5000 0.6016  8 Pd 2.91-2.92, 4 Dy 2.91
Pd 0.5000 0.5000 0.8039  4 Dy 2.91, 8 Pd 2.91-2.93
Pd 0.5000 0.0000 0.0952  2 Sn 2.83, 8 Pd 2.83-2.91, 2 Dy 2.95
Pd 0.5000 0.0000 0.2980  4 Dy 2.89-2.92, 8 Pd 2.91-2.93
Pd 0.5000 0.0000 0.5000  8 Pd 2.91-2.92, 4 Dy 2.91
Pd 0.5000 0.0000 0.7020  4 Dy 2.89-2.92, 8 Pd 2.91-2.93
Pd 0.5000 0.0000 0.9048  2 Sn 2.83, 8 Pd 2.83-2.91, 2 Dy 2.95
Pd 0.0000 0.5000 0.0952  2 Sn 2.83, 8 Pd 2.83-2.91, 2 Dy 2.95
Pd 0.0000 0.5000 0.2980  4 Dy 2.89-2.92, 8 Pd 2.91-2.93
Pd 0.0000 0.5000 0.5000  8 Pd 2.91-2.92, 4 Dy 2.91
Pd 0.0000 0.5000 0.7020  4 Dy 2.89-2.92, 8 Pd 2.91-2.93
Pd 0.0000 0.5000 0.9048  2 Sn 2.83, 8 Pd 2.83-2.91, 2 Dy 2.95

Results
Raw total energy in eV per atom: -5.822
Formation enthalpy at 0 K in kcal/mol of atoms: -18.6

***

Entry 6:
ReAs2Br: optimized geometry, PBE-GGA.

abc: 4.9606 3.8721 3.8721
angles: 90.00 90.00 90.00
Closest atoms and distances in Å follow each position.
Fractional coordinates of all 4 atoms:
Re 0.5000 0.0000 0.5000  4 Br 2.74
As 0.0000 0.0000 0.0000  4 As 2.74
As 0.0000 0.5000 0.5000  4 As 2.74
Br 0.5000 0.5000 0.0000  4 Re 2.74

Results
Offset from the most stable computed form in meV per atom: 1028.1
Raw total energy in eV per atom: -4.681
Uncorrected formation energy in eV per formula unit: 4.696

***

Entry 7:
CsKBi2: optimized geometry, PBE-GGA.

abc: 4.8989 7.3530 10.8927
angles: 90.00 90.00 90.00
Closest atoms and distances in Å follow each position.
Fractional coordinates of all 8 atoms:
Cs 0.5000 0.3709 0.3119  7 Bi 3.92-4.21
Cs 0.5000 0.6291 0.8119  7 Bi 3.92-4.21
K 0.0000 0.1265 0.6939  7 Bi 3.87-4.28
K 0.0000 0.8735 0.1939  7 Bi 3.87-4.28
Bi 0.0000 0.6530 0.5255  2 Bi 3.08
Bi 0.0000 0.3470 0.0255  2 Bi 3.08
Bi 0.5000 0.8916 0.4688  2 Bi 3.08
Bi 0.5000 0.1084 0.9688  2 Bi 3.08

Results
Offset from the most stable computed form in meV per atom: 0.0
Raw total energy in eV per atom: -2.767
Formation enthalpy at 0 K in kcal/mol of atoms: -7.8

***

Entry 8:
SrNbAgP2: optimized geometry, PBE-GGA.

abc: 4.7976 6.1428 4.7976
angles: 90.00 90.00 90.00
Closest atoms and distances in Å follow each position.
Fractional coordinates of all 5 atoms:
Sr 0.0000 0.5000 0.0000  2 Nb 3.07, 4 Ag 3.39
Nb 0.0000 0.0000 0.0000  4 P 2.40
Ag 0.5000 0.5000 0.5000  4 Sr 3.39
P 0.0000 0.0000 0.5000  2 Nb 2.40
P 0.5000 0.0000 0.0000  2 Nb 2.40

Results
Raw total energy in eV per atom: -4.728
Formation enthalpy at 0 K in kcal/mol of atoms: 8.2

***

The records above yield density of states at the Fermi level values of 11.4, 2.6, 0.8, 6.8, 8.2, 4.2, 3.7, 5.0 states/eV/cell, respectively.